1.
Crystalline Rb3Mn4F12 at its relaxed geometry. Source: the Alexandria database, functional PBE+U.

a b c (Å): 7.303 7.303 7.303
angles (deg): 109.47 109.47 109.47
Last column: magnetic moment on the atom in μB.
Element x y z (fractional)
Rb (0.000, 0.500, 0.500)  0.00
Mn (0.500, 0.500, 0.500)  4.54
F (0.255, 0.510, 0.255)  0.01
F (0.745, 0.255, 0.000)  0.01
Mn (0.000, 0.000, 0.500)  4.54
Mn (0.000, 0.500, 0.000)  4.54
F (0.510, 0.255, 0.255)  0.01
F (0.255, 0.255, 0.510)  0.01
Mn (0.500, 0.000, 0.000)  4.54
F (0.255, 0.000, 0.745)  0.01
F (0.000, 0.255, 0.745)  0.01
F (0.490, 0.745, 0.745)  0.01
Rb (0.500, 0.500, 0.000)  0.00
F (0.745, 0.745, 0.490)  0.01
F (0.255, 0.745, 0.000)  0.01
F (0.000, 0.745, 0.255)  0.01
F (0.745, 0.490, 0.745)  0.01
F (0.745, 0.000, 0.255)  0.01
Rb (0.500, 0.000, 0.500)  0.00

Results
SG   Im-3m
DFT total energy   -5.620 eV/atom
DOS(E_F)   0.191 states/eV per atom

***

2.
Crystalline Rb6MnF12 at its relaxed geometry. Source: the Alexandria database, functional PBE+U.

a b c (Å): 7.626 7.626 7.626
angles (deg): 98.91 98.91 98.91
Last column: magnetic moment on the atom in μB.
Element x y z (fractional)
F (0.857, 0.524, 0.418)  0.29
Rb (0.394, 0.735, 0.842)  0.00
Rb (0.606, 0.265, 0.158)  0.00
Rb (0.158, 0.606, 0.265)  0.00
F (0.756, 0.947, 0.010)  -0.01
F (0.143, 0.476, 0.582)  0.29
F (0.010, 0.756, 0.947)  -0.01
Rb (0.265, 0.158, 0.606)  0.00
F (0.244, 0.053, 0.990)  -0.01
F (0.990, 0.244, 0.053)  -0.01
F (0.582, 0.143, 0.476)  0.29
F (0.524, 0.418, 0.857)  0.29
F (0.418, 0.857, 0.524)  0.29
Rb (0.842, 0.394, 0.735)  0.00
F (0.947, 0.010, 0.756)  -0.01
F (0.476, 0.582, 0.143)  0.29
Mn (0.000, 0.000, 0.000)  3.02
F (0.053, 0.990, 0.244)  -0.01
Rb (0.735, 0.842, 0.394)  0.00

Results
SG   R-3
DFT total energy   -4.235 eV/atom
DOS(E_F)   0.452 states/eV per atom